Compound: Ca2AcCeTe4
Source: the Alexandria database
Functional: GGA-PBE
Structure: relaxed

Lattice parameters (Å, degrees): 7.872 4.539 8.021 90.00 109.07 90.00
Atoms (fractional coordinates):
Ca 0.000 0.000 0.000
Ca 0.500 0.500 0.000
Ac 0.000 0.500 0.500
Ce 0.500 0.000 0.500
Te 0.253 0.500 0.240
Te 0.261 0.000 0.765
Te 0.739 0.000 0.235
Te 0.747 0.500 0.760

Output
Electronic total energy: -0.35460 Ry/atom
Space group: P2/m (10)

***

Compound: TaTcAu
Source: the Alexandria database
Functional: GGA-PBE
Structure: relaxed

Lattice parameters (Å, degrees): 2.839 2.839 12.515 90.00 90.00 90.00
Atoms (fractional coordinates):
Ta 0.000 0.000 0.000
Ta 0.500 0.500 0.500
Tc 0.000 0.000 0.660
Tc 0.500 0.500 0.160
Au 0.000 0.000 0.328
Au 0.500 0.500 0.828

Output
E_form: 0.153 eV per atom
Space group: I4mm (107)

***

Compound: Li2CdPb
Source: the Alexandria database
Functional: GGA-PBE
Structure: relaxed

Lattice parameters (Å, degrees): 4.740 4.740 3.601 90.00 90.00 90.00
Atoms (fractional coordinates):
Li 0.000 0.500 0.000
Li 0.500 0.000 0.000
Cd 0.000 0.000 0.500
Pb 0.500 0.500 0.500

Output
E_form: -0.258 eV per atom
Space group: P4/mmm (123)

***

Compound: RbNaBO2
Source: the Alexandria database
Functional: GGA-PBE
Structure: relaxed

Lattice parameters (Å, degrees): 3.805 3.805 4.490 90.00 90.00 90.00
Atoms (fractional coordinates):
Rb 0.000 0.000 0.000
Na 0.500 0.500 0.000
B 0.500 0.500 0.500
O 0.000 0.500 0.500
O 0.500 0.000 0.500

Output
Electronic total energy: -0.27296 Ry/atom
Space group: P4/mmm (123)